(1)
A relaxed LiBeSbPt crystal, computed with PBE-GGA.

POSCAR file:
```
LiBeSbPt
1.0
0.000 3.115 3.115
3.115 0.000 3.115
3.115 3.115 0.000
Li Be Sb Pt
1 1 1 1
direct
0.000 0.000 0.000
0.250 0.250 0.250
0.750 0.750 0.750
0.500 0.500 0.500
```

Properties
For the total DFT energy (no corrections), the calculation gives -4.23 eV per atom. Its relative energy among the computed polymorphs is 0.0 meV per atom. The calculation puts the total magnetization at 0.0 μB per cell.

***

(2)
A relaxed LiBeSbPt crystal, computed with PBE-GGA.

POSCAR file:
```
LiBeSbPt
1.0
0.000 3.079 3.079
3.079 0.000 3.079
3.079 3.079 0.000
Li Be Sb Pt
1 1 1 1
direct
0.000 0.000 0.000
0.500 0.500 0.500
0.250 0.250 0.250
0.750 0.750 0.750
```

Properties
For the total DFT energy (no corrections), the calculation gives -4.16 eV per atom. Its relative energy among the computed polymorphs is 65.3 meV per atom. The calculation puts the total magnetization at 0.0 μB per cell.

***

(3)
A relaxed LiTmBeS3 crystal, computed with PBE-GGA.

POSCAR file:
```
LiTmBeS3
1.0
1.836 -6.060 0.000
1.836 6.060 0.000
0.000 0.000 10.342
Li Tm Be S
2 2 2 6
direct
0.227 0.773 0.750
0.773 0.227 0.250
0.000 0.000 0.000
0.000 0.000 0.500
0.471 0.529 0.250
0.529 0.471 0.750
0.076 0.924 0.250
0.364 0.636 0.091
0.364 0.636 0.409
0.636 0.364 0.591
0.636 0.364 0.909
0.924 0.076 0.750
```

Properties
For the total DFT energy (no corrections), the calculation gives -5.23 eV per atom. The calculation puts the total magnetization at 0.0 μB per cell.

***

(4)
A relaxed LiZrBeS3 crystal, computed with PBE-GGA.

POSCAR file:
```
LiZrBeS3
1.0
1.730 -6.212 0.000
1.730 6.212 0.000
0.000 0.000 9.909
Li Zr Be S
2 2 2 6
direct
0.224 0.776 0.750
0.776 0.224 0.250
0.000 0.000 0.000
0.000 0.000 0.500
0.467 0.533 0.250
0.533 0.467 0.750
0.073 0.927 0.250
0.359 0.641 0.085
0.359 0.641 0.415
0.641 0.359 0.585
0.641 0.359 0.915
0.927 0.073 0.750
```

Properties
For the total DFT energy (no corrections), the calculation gives -5.64 eV per atom. The calculation puts the total magnetization at 0.0 μB per cell.

***

Look up the total DFT energy (no corrections) of the second one. -4.16 eV per atom

***

Among the records above, which one has the highest total DFT energy (no corrections)? number 2

***

What is the total DFT energy (no corrections) in the fourth record? -5.64 eV per atom

***

Copy entry 2 word for word.
A relaxed LiBeSbPt crystal, computed with PBE-GGA.

POSCAR file:
```
LiBeSbPt
1.0
0.000 3.079 3.079
3.079 0.000 3.079
3.079 3.079 0.000
Li Be Sb Pt
1 1 1 1
direct
0.000 0.000 0.000
0.500 0.500 0.500
0.250 0.250 0.250
0.750 0.750 0.750
```

Properties
For the total DFT energy (no corrections), the calculation gives -4.16 eV per atom. Its relative energy among the computed polymorphs is 65.3 meV per atom. The calculation puts the total magnetization at 0.0 μB per cell.